SrBiS2O8 (PBE-GGA, optimized geometry); mass density = 4.65 g/cm³; energy relative to the elements, uncorrected = -1592 meV/atom
1.0
4.9400 0.0000 0.0000
2.4700 4.2782 0.0000
2.4700 1.4260 8.2543
Sr Bi S O
1 1 2 8
direct
0.5000 0.5000 0.5000
0.0000 0.0000 0.0000
0.2402 0.2402 0.2794
0.7598 0.7598 0.7206
0.1799 0.1799 0.4604
0.5383 0.2752 0.2226
0.8201 0.8201 0.5396
0.9640 0.5383 0.2226
0.0360 0.4617 0.7774
0.2752 0.9640 0.2226
0.7248 0.0360 0.7774
0.4617 0.7248 0.7774